Record 1
# Ba3Sr, single point on PBEsol structure, DFT meta-GGA SCAN
# Formation energy (meV per atom): 10.1
# Magnetization (μB/cell): 0.06
# E above lowest polymorph (meV per atom): 4.0
data_Ba3Sr
_symmetry_space_group_name_H-M 'P 4/m m m'
_symmetry_Int_Tables_number 123
_symmetry_space_group_name_Hall '-P 4 2'
_cell_length_a 4.844
_cell_length_b 4.844
_cell_length_c 9.626
_cell_angle_alpha 90.00
_cell_angle_beta 90.00
_cell_angle_gamma 90.00
loop_
_atom_site_label
_atom_site_fract_x
_atom_site_fract_y
_atom_site_fract_z
Ba1 0.000 0.000 0.000
Ba2 0.500 0.500 0.254
Sr1 0.000 0.000 0.500

---

Record 2
# Ba3Sr, single point on PBEsol structure, DFT meta-GGA SCAN
# Formation energy (meV per atom): 29.9
# Magnetization (μB/cell): 0.20
# E above lowest polymorph (meV per atom): 23.8
data_Ba3Sr
_symmetry_space_group_name_H-M 'P -6 m 2'
_symmetry_Int_Tables_number 187
_symmetry_space_group_name_Hall 'P -6 2'
_cell_length_a 4.2955
_cell_length_b 4.2955
_cell_length_c 14.1530
_cell_angle_alpha 90.00
_cell_angle_beta 90.00
_cell_angle_gamma 120.00
loop_
_atom_site_label
_atom_site_fract_x
_atom_site_fract_y
_atom_site_fract_z
Ba1 0.0000 0.0000 0.0000
Ba2 0.6667 0.3333 0.2525
Sr1 0.0000 0.0000 0.5000